Entry 1:
! Rb2TlF PBE-GGA optimized geometry; values from VASP
&SYSTEM
  ibrav = 0, nat = 4, ntyp = 3
/
ATOMIC_SPECIES
Rb 85.47 Rb.upf
Tl 204.38 Tl.upf
F 19.00 F.upf
ATOMIC_POSITIONS crystal
Rb 0.000 0.000 0.178
Rb 0.000 0.000 0.822
Tl 0.500 0.500 0.500
F 0.500 0.500 0.000
CELL_PARAMETERS angstrom
3.615 0.000 0.000
0.000 3.615 0.000
0.000 0.000 9.551
! density	5.2	g/cm³
! magnetization	0.0000	μB per atom
! energy above the lowest structure with this stoichiometry	0.0	meV per atom

---

Entry 2:
! Rb2TlF PBE-GGA optimized geometry; values from VASP
&SYSTEM
  ibrav = 0, nat = 16, ntyp = 3
/
ATOMIC_SPECIES
Rb 85.47 Rb.upf
Tl 204.38 Tl.upf
F 19.00 F.upf
ATOMIC_POSITIONS crystal
Rb 0.250 0.250 0.250
Rb 0.250 0.250 0.750
Rb 0.250 0.750 0.250
Rb 0.250 0.750 0.750
Rb 0.750 0.250 0.250
Rb 0.750 0.250 0.750
Rb 0.750 0.750 0.250
Rb 0.750 0.750 0.750
Tl 0.000 0.000 0.000
Tl 0.000 0.500 0.500
Tl 0.500 0.000 0.500
Tl 0.500 0.500 0.000
F 0.000 0.000 0.500
F 0.000 0.500 0.000
F 0.500 0.000 0.000
F 0.500 0.500 0.500
CELL_PARAMETERS angstrom
8.518 0.000 0.000
0.000 8.518 0.000
0.000 0.000 8.518
! density	4.2	g/cm³
! magnetization	0.0000	μB per atom
! energy above the lowest structure with this stoichiometry	461.0	meV per atom

---

Entry 3:
! RbTlF3 PBE-GGA optimized geometry; values from VASP
&SYSTEM
  ibrav = 0, nat = 10, ntyp = 3
/
ATOMIC_SPECIES
Rb 85.47 Rb.upf
Tl 204.38 Tl.upf
F 19.00 F.upf
ATOMIC_POSITIONS crystal
Rb 0.000 0.000 0.000
Rb 0.439 0.934 0.493
Tl 0.443 0.484 0.882
Tl 0.884 0.452 0.392
F 0.016 0.691 0.679
F 0.037 0.418 0.099
F 0.422 0.487 0.482
F 0.585 0.173 0.204
F 0.812 0.746 0.267
F 0.974 0.225 0.614
CELL_PARAMETERS angstrom
4.489 0.000 0.000
-0.668 6.559 0.000
-1.291 -0.839 6.700
! density	5.8	g/cm³
! magnetization	0.0000	μB per atom

---

Entry 4:
! RbTlF3 PBE-GGA optimized geometry; values from VASP
&SYSTEM
  ibrav = 0, nat = 10, ntyp = 3
/
ATOMIC_SPECIES
Rb 85.47 Rb.upf
Tl 204.38 Tl.upf
F 19.00 F.upf
ATOMIC_POSITIONS crystal
Rb 0.250 0.250 0.250
Rb 0.750 0.750 0.750
Tl 0.000 0.000 0.000
Tl 0.500 0.500 0.500
F 0.229 0.229 0.771
F 0.229 0.771 0.229
F 0.229 0.771 0.771
F 0.771 0.229 0.229
F 0.771 0.229 0.771
F 0.771 0.771 0.229
CELL_PARAMETERS angstrom
0.000 4.810 4.810
4.810 0.000 4.810
4.810 4.810 0.000
! density	5.2	g/cm³
! magnetization	0.0000	μB per atom

---

Entry 5:
! Rb2TlF5 PBE-GGA optimized geometry; values from VASP
&SYSTEM
  ibrav = 0, nat = 32, ntyp = 3
/
ATOMIC_SPECIES
Rb 85.47 Rb.upf
Tl 204.38 Tl.upf
F 19.00 F.upf
ATOMIC_POSITIONS crystal
Rb 0.169 0.004 0.052
Rb 0.169 0.496 0.052
Rb 0.331 0.504 0.552
Rb 0.331 0.996 0.552
Rb 0.669 0.004 0.448
Rb 0.669 0.496 0.448
Rb 0.831 0.504 0.948
Rb 0.831 0.996 0.948
Tl 0.001 0.250 0.555
Tl 0.499 0.750 0.055
Tl 0.501 0.250 0.945
Tl 0.999 0.750 0.445
F 0.017 0.250 0.876
F 0.064 0.541 0.659
F 0.064 0.959 0.659
F 0.167 0.250 0.396
F 0.185 0.750 0.359
F 0.315 0.250 0.859
F 0.333 0.750 0.896
F 0.436 0.041 0.159
F 0.436 0.459 0.159
F 0.483 0.750 0.376
F 0.517 0.250 0.624
F 0.564 0.541 0.841
F 0.564 0.959 0.841
F 0.667 0.250 0.104
F 0.685 0.750 0.141
F 0.815 0.250 0.641
F 0.833 0.750 0.604
F 0.936 0.041 0.341
F 0.936 0.459 0.341
F 0.983 0.750 0.124
CELL_PARAMETERS angstrom
11.342 0.000 0.000
0.000 7.603 0.000
0.000 0.000 6.909
! density	5.2	g/cm³
! magnetization	0.0183	μB per atom

---

Entry 6:
! Rb6Tl3F14 PBE-GGA optimized geometry; values from VASP
&SYSTEM
  ibrav = 0, nat = 23, ntyp = 3
/
ATOMIC_SPECIES
Rb 85.47 Rb.upf
Tl 204.38 Tl.upf
F 19.00 F.upf
ATOMIC_POSITIONS crystal
Rb 0.012 0.455 0.000
Rb 0.279 0.206 0.453
Rb 0.442 0.988 0.000
Rb 0.545 0.558 0.000
Rb 0.794 0.073 0.453
Rb 0.927 0.721 0.453
Tl 0.000 0.000 0.993
Tl 0.333 0.667 0.541
Tl 0.667 0.333 0.617
F 0.000 0.000 0.641
F 0.064 0.221 0.169
F 0.157 0.936 0.169
F 0.197 0.748 0.696
F 0.252 0.448 0.696
F 0.333 0.667 0.206
F 0.459 0.256 0.821
F 0.532 0.121 0.421
F 0.552 0.803 0.696
F 0.590 0.468 0.421
F 0.744 0.203 0.821
F 0.779 0.843 0.169
F 0.797 0.541 0.821
F 0.879 0.410 0.421
CELL_PARAMETERS angstrom
9.907 0.000 0.000
-4.954 8.580 0.000
0.000 0.000 6.346
! density	4.3	g/cm³
! magnetization	0.0286	μB per atom

---

Entry 7:
! Rb3TlF4 PBE-GGA optimized geometry; values from VASP
&SYSTEM
  ibrav = 0, nat = 16, ntyp = 3
/
ATOMIC_SPECIES
Rb 85.47 Rb.upf
Tl 204.38 Tl.upf
F 19.00 F.upf
ATOMIC_POSITIONS crystal
Rb 0.000 0.000 0.000
Rb 0.000 0.500 0.250
Rb 0.000 0.500 0.750
Rb 0.500 0.000 0.250
Rb 0.500 0.000 0.750
Rb 0.500 0.500 0.500
Tl 0.000 0.000 0.500
Tl 0.500 0.500 0.000
F 0.000 0.000 0.253
F 0.000 0.000 0.747
F 0.000 0.500 0.000
F 0.000 0.500 0.500
F 0.500 0.000 0.000
F 0.500 0.000 0.500
F 0.500 0.500 0.247
F 0.500 0.500 0.753
CELL_PARAMETERS angstrom
5.720 0.000 0.000
0.000 5.720 0.000
0.000 0.000 11.434
! density	4.8	g/cm³
! magnetization	0.0000	μB per atom
! energy above the lowest structure with this stoichiometry	0.0	meV per atom

---

Entry 8:
! Rb2TlF7 PBE-GGA optimized geometry; values from VASP
&SYSTEM
  ibrav = 0, nat = 10, ntyp = 3
/
ATOMIC_SPECIES
Rb 85.47 Rb.upf
Tl 204.38 Tl.upf
F 19.00 F.upf
ATOMIC_POSITIONS crystal
Rb 0.250 0.750 0.500
Rb 0.750 0.250 0.500
Tl 0.000 0.000 0.000
F 0.218 0.218 0.000
F 0.249 0.249 0.498
F 0.249 0.751 0.000
F 0.500 0.500 0.000
F 0.751 0.249 0.000
F 0.751 0.751 0.502
F 0.782 0.782 0.000
CELL_PARAMETERS angstrom
-3.092 3.092 4.870
3.092 -3.092 4.870
3.092 3.092 -4.870
! density	4.5	g/cm³
! magnetization	0.2000	μB per atom

---

Number 1: ΔE_f (raw) -117 kJ/mol of atoms. Number 2: ΔE_f (raw) -72 kJ/mol of atoms. Number 3: ΔE_f (raw) -210 kJ/mol of atoms. Number 4: ΔE_f (raw) -215 kJ/mol of atoms. Number 5: ΔE_f (raw) -228 kJ/mol of atoms. Number 6: ΔE_f (raw) -221 kJ/mol of atoms. Number 7: ΔE_f (raw) -235 kJ/mol of atoms. Number 8: ΔE_f (raw) -172 kJ/mol of atoms.